# 1
Below is crystalline ZrHgS2 at its relaxed geometry, with properties calculated at the PBE level.

a b c (Å): 6.7022 6.7022 6.7464
angles (deg): 96.81 96.81 123.60
Closest atoms and distances in Å follow each position.
Atoms (fractional coordinates):
Zr 0.0225 0.9775 0.5000  4 S 2.41-2.58
Zr 0.9775 0.0225 0.0000  4 S 2.41-2.58
Hg 0.4793 0.8498 0.0986  1 Zr 3.06, 2 S 3.13-3.40
Hg 0.8498 0.4793 0.5986  1 Zr 3.06, 2 S 3.13-3.40
S 0.1528 0.3210 0.3209  2 Zr 2.42-2.49
S 0.3210 0.1528 0.8209  2 Zr 2.42-2.49
S 0.7137 0.9655 0.6580  2 Zr 2.41-2.58
S 0.9655 0.7137 0.1580  2 Zr 2.41-2.58

## Properties
volume: 30.5 A^3/atom
raw formation energy: -0.89 eV/atom

# 2
Below is crystalline Sr10P6ClO24F at its relaxed geometry, with properties calculated at the PBE level.

a b c (Å): 9.9341 9.9341 7.3231
angles (deg): 90.00 90.00 120.00
Closest atoms and distances in Å follow each position.
Atoms (fractional coordinates):
Sr 0.0000 0.0000 0.0000  6 O 2.54
Sr 0.0000 0.0000 0.4958  9 O 2.64-2.78
Sr 0.0640 0.4097 0.7423  4 O 2.46-2.61
Sr 0.0953 0.6739 0.2390  1 F 2.48, 5 O 2.53-2.70
Sr 0.3261 0.4214 0.2390  1 F 2.48, 5 O 2.53-2.70
Sr 0.3458 0.9360 0.7423  4 O 2.46-2.61
Sr 0.5786 0.9047 0.2390  1 F 2.48, 5 O 2.53-2.70
Sr 0.5903 0.6542 0.7423  4 O 2.46-2.61
Sr 0.6667 0.3333 0.4828  9 O 2.60-2.87
Sr 0.6667 0.3333 0.9862  6 O 2.61-2.62
P 0.3009 0.2688 0.7373  4 O 1.55-1.57
P 0.3654 0.0718 0.2379  4 O 1.56
P 0.7064 0.6346 0.2379  4 O 1.56
P 0.7312 0.0321 0.7373  4 O 1.55-1.57
P 0.9282 0.2936 0.2379  4 O 1.56
P 0.9679 0.6991 0.7373  4 O 1.55-1.57
Cl 0.3333 0.6667 0.5749  3 Sr 2.89, 1 F 3.08
O 0.0008 0.1865 0.2387  1 P 1.56
O 0.0625 0.7608 0.5578  1 P 1.55
O 0.0837 0.7406 0.8991  1 P 1.56
O 0.1857 0.9992 0.2387  1 P 1.56
O 0.2125 0.0880 0.7613  1 P 1.57
O 0.2392 0.3017 0.5578  1 P 1.55
O 0.2594 0.3432 0.8991  1 P 1.56
O 0.4194 0.0168 0.0682  1 P 1.56
O 0.4206 0.0230 0.4119  1 P 1.56
O 0.4504 0.2531 0.2324  1 P 1.56
O 0.4800 0.3328 0.7323  1 P 1.56
O 0.5974 0.5806 0.0682  1 P 1.56
O 0.6024 0.5794 0.4119  1 P 1.56
O 0.6568 0.9163 0.8991  1 P 1.56
O 0.6672 0.1472 0.7323  1 P 1.56
O 0.6983 0.9375 0.5578  1 P 1.55
O 0.7469 0.1972 0.2324  1 P 1.56
O 0.8028 0.5496 0.2324  1 P 1.56
O 0.8135 0.8143 0.2387  1 P 1.56
O 0.8528 0.5200 0.7323  1 P 1.56
O 0.8754 0.7875 0.7613  1 P 1.57
O 0.9120 0.1246 0.7613  1 P 1.57
O 0.9770 0.3976 0.4119  1 P 1.56
O 0.9832 0.4026 0.0682  1 P 1.56
F 0.3333 0.6667 0.1548  3 Sr 2.48

## Properties
relative energy among the computed polymorphs: 21.9 kJ/mol of formula units
volume: 14.9 A^3/atom
raw formation energy: -2.95 eV/atom

# 3
Below is crystalline RbSi3Pt at its relaxed geometry, with properties calculated at the PBE level.

a b c (Å): 4.9393 4.9393 4.9393
angles (deg): 90.00 90.00 90.00
Closest atoms and distances in Å follow each position.
Atoms (fractional coordinates):
Rb 0.0000 0.0000 0.0000  12 Si 3.49
Si 0.0000 0.5000 0.5000  2 Pt 2.47
Si 0.5000 0.0000 0.5000  2 Pt 2.47
Si 0.5000 0.5000 0.0000  2 Pt 2.47
Pt 0.5000 0.5000 0.5000  6 Si 2.47

## Properties
relative energy among the computed polymorphs: 0.0 kJ/mol of formula units
volume: 24.1 A^3/atom
raw formation energy: 0.53 eV/atom

# 4
Below is crystalline MnReAg2 at its relaxed geometry, with properties calculated at the PBE level.

a b c (Å): 2.7387 2.7387 9.2023
angles (deg): 90.00 90.00 112.42
Closest atoms and distances in Å follow each position.
Atoms (fractional coordinates):
Mn 0.0000 0.0000 0.0000  2 Re 2.45, 4 Mn 2.74
Re 0.5000 0.5000 0.7913  2 Mn 2.45, 4 Re 2.74
Ag 0.0000 0.0000 0.5209  8 Ag 2.74-3.05, 2 Re 2.92
Ag 0.5000 0.5000 0.2513  8 Ag 2.74-3.05, 2 Mn 2.77

## Properties
relative energy among the computed polymorphs: 0.0 kJ/mol of formula units
volume: 16.0 A^3/atom

# 5
Below is crystalline PuZnHgRh at its relaxed geometry, with properties calculated at the PBE level.

a b c (Å): 4.8185 4.8185 4.8185
angles (deg): 60.00 60.00 60.00
Closest atoms and distances in Å follow each position.
Atoms (fractional coordinates):
Pu 0.0000 0.0000 0.0000  4 Rh 2.95, 4 Zn 2.95
Zn 0.2500 0.2500 0.2500  4 Hg 2.95, 4 Pu 2.95
Hg 0.5000 0.5000 0.5000  4 Rh 2.95, 4 Zn 2.95
Rh 0.7500 0.7500 0.7500  4 Hg 2.95, 4 Pu 2.95

## Properties
volume: 19.8 A^3/atom

# 6
Below is crystalline ZrSc2Ru at its relaxed geometry, with properties calculated at the PBE level.

a b c (Å): 9.4446 9.4446 9.4446
angles (deg): 19.52 19.52 19.52
Closest atoms and distances in Å follow each position.
Atoms (fractional coordinates):
Zr 0.0000 0.0000 0.0000  6 Zr 3.20, 6 Sc 3.28
Sc 0.2356 0.2356 0.2356  3 Ru 2.66
Sc 0.7644 0.7644 0.7644  3 Ru 2.66
Ru 0.5000 0.5000 0.5000  6 Sc 2.66

## Properties
relative energy among the computed polymorphs: 89.6 kJ/mol of formula units
volume: 20.6 A^3/atom

# 7
Below is crystalline MnCo2RhN at its relaxed geometry, with properties calculated at the PBE level.

a b c (Å): 3.7847 3.7847 4.0645
angles (deg): 90.00 90.00 90.00
Closest atoms and distances in Å follow each position.
Atoms (fractional coordinates):
Mn 0.0000 0.0000 0.0000  4 Rh 2.68, 8 Co 2.78
Co 0.0000 0.5000 0.5000  2 N 1.89
Co 0.5000 0.0000 0.5000  2 N 1.89
Rh 0.5000 0.5000 0.0000  2 N 2.03
N 0.5000 0.5000 0.5000  4 Co 1.89, 2 Rh 2.03

## Properties
relative energy among the computed polymorphs: 0.0 kJ/mol of formula units
volume: 11.6 A^3/atom
raw formation energy: 0.02 eV/atom

# 8
Below is crystalline LaZrCd2 at its relaxed geometry, with properties calculated at the PBE level.

a b c (Å): 5.6519 5.6519 5.6519
angles (deg): 130.61 130.61 72.43
Closest atoms and distances in Å follow each position.
Atoms (fractional coordinates):
La 0.0000 0.0000 0.0000  8 Cd 3.28, 4 Zr 3.34
Zr 0.5000 0.5000 0.0000  8 Cd 3.28, 4 La 3.34
Cd 0.2500 0.7500 0.5000  4 La 3.28, 4 Zr 3.28, 4 Cd 3.34
Cd 0.7500 0.2500 0.5000  4 La 3.28, 4 Zr 3.28, 4 Cd 3.34

## Properties
relative energy among the computed polymorphs: 33.3 kJ/mol of formula units
volume: 25.4 A^3/atom

| no. | DOS at the Fermi energy (states/eV/cell) | E_tot (eV/atom) |
| --- | --- | --- |
| 1 | 0.00 | -5.1660 |
| 2 | 0.00 | -7.0478 |
| 3 | 6.48 | -4.1211 |
| 4 | 2.52 | -6.5035 |
| 5 | 11.00 | -5.9072 |
| 6 | 5.88 | -7.7422 |
| 7 | 3.30 | -7.7893 |
| 8 | 5.27 | -3.9080 |